Record 1
Computed, not measured: crystalline SrLiNb at its relaxed geometry at the PBE-GGA level of DFT.

Summary:
ΔE_f = 1.74 eV/f.u.
Size of the total moment = 0.00 μB/cell

abc: 10.441 5.644 5.644
angles: 121.28 133.29 46.71
Positions (direct):
1 Sr 0.550 0.177 0.823
2 Sr 0.922 0.537 0.463
3 Nb 0.172 0.990 0.010
4 Nb 0.373 0.001 0.999
5 Li 0.148 0.692 0.308
6 Li 0.588 0.487 0.513


Record 2
Computed, not measured: crystalline SrLi2Nb at its relaxed geometry at the PBE-GGA level of DFT.

Summary:
ΔE_f = 2.94 eV/f.u.
Size of the total moment = 3.64 μB/cell

abc: 5.230 5.230 5.230
angles: 60.00 60.00 60.00
Positions (direct):
1 Sr 0.000 0.000 0.000
2 Nb 0.500 0.500 0.500
3 Li 0.250 0.250 0.250
4 Li 0.750 0.750 0.750